# 1
# Ba6In3H2 PBE-GGA relaxed
data_Ba6In3H2
_chemical_formula_sum 'Ba12 In6 H4'
_cell_length_a 5.684
_cell_length_b 5.684
_cell_length_c 26.564
_cell_angle_alpha 90.00
_cell_angle_beta 90.00
_cell_angle_gamma 90.00
_symmetry_space_group_name_H-M 'I 4/m m m'
_symmetry_Int_Tables_number 139
_symmetry_space_group_name_Hall '-I 4 2'
loop_
_atom_site_label
_atom_site_type_symbol
_atom_site_fract_x
_atom_site_fract_y
_atom_site_fract_z
Ba1 Ba 0.000 0.000 0.203
Ba2 Ba 0.000 0.500 0.081
In1 In 0.000 0.000 0.336
In2 In 0.000 0.000 0.500
H1 H 0.000 0.000 0.100
# Uncorrected energy ... -30.0 eV per formula unit
# Calculated volume ... 39.0 Å³ per atom
# Theoretical density ... 4.5 g cm⁻³



# 2
# Ba6In2H PBE-GGA relaxed
data_Ba6In2H
_chemical_formula_sum 'Ba12 In4 H2'
_cell_length_a 7.728
_cell_length_b 10.624
_cell_length_c 11.014
_cell_angle_alpha 90.00
_cell_angle_beta 121.33
_cell_angle_gamma 90.00
_symmetry_space_group_name_H-M 'P 1 21/c 1'
_symmetry_Int_Tables_number 14
_symmetry_space_group_name_Hall '-P 2ybc'
loop_
_atom_site_label
_atom_site_type_symbol
_atom_site_fract_x
_atom_site_fract_y
_atom_site_fract_z
Ba1 Ba 0.148 0.118 0.460
Ba2 Ba 0.291 0.737 0.424
Ba3 Ba 0.327 0.050 0.178
In1 In 0.215 0.099 0.808
H1 H 0.500 0.000 0.500
# Uncorrected energy ... -22.7 eV per formula unit
# Polymorph energy (0 for the lowest one) ... 8 meV per atom
# Calculated volume ... 42.9 Å³ per atom
# Theoretical density ... 4.5 g cm⁻³



# 3
# Ba12In3H5 PBE-GGA relaxed
data_Ba12In3H5
_chemical_formula_sum 'Ba96 In24 H40'
_cell_length_a 18.434
_cell_length_b 18.434
_cell_length_c 18.434
_cell_angle_alpha 90.00
_cell_angle_beta 90.00
_cell_angle_gamma 90.00
_symmetry_space_group_name_H-M 'I a -3 d'
_symmetry_Int_Tables_number 230
_symmetry_space_group_name_Hall '-I 4bd 2c 3'
loop_
_atom_site_label
_atom_site_type_symbol
_atom_site_fract_x
_atom_site_fract_y
_atom_site_fract_z
Ba1 Ba 0.035 0.056 0.654
In1 In 0.000 0.250 0.125
H1 H 0.000 0.000 0.000
H2 H 0.000 0.250 0.375
# Uncorrected energy ... -53.7 eV per formula unit
# Calculated volume ... 39.2 Å³ per atom
# Theoretical density ... 4.2 g cm⁻³



# 4
# Ba2InH8 PBE-GGA relaxed
data_Ba2InH8
_chemical_formula_sum 'Ba4 In2 H16'
_cell_length_a 15.811
_cell_length_b 4.305
_cell_length_c 4.635
_cell_angle_alpha 90.00
_cell_angle_beta 103.81
_cell_angle_gamma 90.00
_symmetry_space_group_name_H-M 'C 1 2/m 1'
_symmetry_Int_Tables_number 12
_symmetry_space_group_name_Hall '-C 2y'
loop_
_atom_site_label
_atom_site_type_symbol
_atom_site_fract_x
_atom_site_fract_y
_atom_site_fract_z
Ba1 Ba 0.156 0.000 0.162
In1 In 0.000 0.500 0.500
H1 H 0.005 0.000 0.737
H2 H 0.069 0.500 0.232
H3 H 0.108 0.500 0.805
H4 H 0.238 0.000 0.733
# Uncorrected energy ... -33.5 eV per formula unit
# Calculated volume ... 13.9 Å³ per atom
# Theoretical density ... 4.3 g cm⁻³